# Ba2AcB2S6 (GGA-PBE, optimized geometry)
# size of the total moment: 0.000 μB/atom
# raw total energy: -60.5 eV for the cell shown
data_Ba2AcB2S6
_symmetry_space_group_name_H-M 'P 1'
_symmetry_Int_Tables_number 1
_symmetry_space_group_name_Hall 'P 1'
_cell_length_a 6.5149
_cell_length_b 6.6651
_cell_length_c 8.5858
_cell_angle_alpha 114.93
_cell_angle_beta 90.00
_cell_angle_gamma 119.26
loop_
_atom_site_label
_atom_site_fract_x
_atom_site_fract_y
_atom_site_fract_z
_atom_site_occupancy
Ba1 0.7081 0.4162 0.2034 1
Ba2 0.2919 0.5838 0.7966 1
Ac1 0.5000 0.0000 0.5000 1
B1 0.9608 0.9217 0.7446 1
B2 0.0392 0.0783 0.2554 1
S1 0.7802 0.5603 0.6340 1
S2 0.1950 0.9017 0.1832 1
S3 0.2934 0.0983 0.8168 1
S4 0.8050 0.0983 0.8168 1
S5 0.7066 0.9017 0.1832 1
S6 0.2198 0.4397 0.3660 1